AlHg2Ir: optimized geometry, PBE.

It has space group F-43m (No. 216), with a = 6.6094 Å, b = 6.6094 Å, c = 6.6094 Å, α = 90.00°, β = 90.00° and γ = 90.00°. The asymmetric unit holds Al at (0.0000, 0.0000, 0.0000), Hg at (0.0000, 0.0000, 0.5000), Hg at (0.2500, 0.2500, 0.7500) and Ir at (0.2500, 0.2500, 0.2500).

As for the density: 14.27 g/cm³.



Li4Al2HgIr: optimized geometry, PBE.

It has space group P-4m2 (No. 115), with a = 4.3653 Å, b = 4.3653 Å, c = 6.2189 Å, α = 90.00°, β = 90.00° and γ = 90.00°. The asymmetric unit holds Li at (0.0000, 0.0000, 0.0000), Li at (0.0000, 0.5000, 0.7427), Li at (0.5000, 0.5000, 0.5000), Al at (0.0000, 0.5000, 0.2905), Hg at (0.5000, 0.5000, 0.0000) and Ir at (0.0000, 0.0000, 0.5000).

As for the density: 6.65 g/cm³.



| no. | calculated total energy (hartree per atom) |
| --- | --- |
| 1 | -0.10963 |
| 2 | -0.12582 |